Record 1
The following is a PBE calculation of a geometry-optimized Tb7Sb2Ru2 structure, from Alexandria via LeMat-Bulk.

POSCAR file:
```
Tb7Sb2Ru2
1.0
-0.5797 3.8511 -1.1878
-8.2432 -0.4626 -4.4555
-7.9784 2.2985 4.3677
Tb Sb Ru
7 2 2
Cartesian
-3.4404 3.7561 -0.0997
-10.9690 5.1039 0.9661
-8.2726 4.1784 3.6278
-6.4178 2.8053 -1.7293
-10.4404 2.2871 -1.4465
-13.3077 2.4849 0.5942
-5.7102 1.8557 1.8249
-8.1808 0.1875 -2.3783
-8.3605 3.2618 0.6990
-12.7667 4.0116 -1.6983
-4.0796 1.2050 -1.0807
```

***

Record 2
The following is a PBE calculation of a geometry-optimized Tb4SbRu structure, from Alexandria via LeMat-Bulk.

POSCAR file:
```
Tb4SbRu
1.0
5.3929 0.0000 -2.8693
0.0000 6.6411 0.0000
-1.2841 0.0000 9.9539
Tb Sb Ru
8 2 2
Cartesian
2.2319 1.6603 2.5818
1.8769 4.9808 4.5029
2.7739 1.6603 6.6825
1.3349 4.9808 0.4021
4.4634 0.0101 0.2912
-0.3546 3.3306 6.7934
4.4634 3.3105 0.2912
-0.3546 6.6310 6.7934
1.8342 1.6603 -0.5639
2.2746 4.9808 7.6485
0.6731 1.6603 4.8594
3.4358 4.9808 2.2252
```

***

Record 3
The following is a PBE calculation of a geometry-optimized Tb2SbRu structure, from Alexandria via LeMat-Bulk.

POSCAR file:
```
Tb2SbRu
1.0
-0.7477 2.9069 -1.6328
-0.0215 -1.6775 -2.9767
-7.9364 -1.5261 0.9173
Sb Tb Ru
1 2 1
Cartesian
-4.3528 -0.1483 -1.8461
-6.2960 -1.2107 0.7277
-1.6404 -0.3154 0.1896
-0.3846 0.6147 -2.3047
```

***

Record 4
The following is a PBE calculation of a geometry-optimized Tb4Sb2Ru structure, from Alexandria via LeMat-Bulk.

POSCAR file:
```
Tb4Sb2Ru
1.0
-0.9784 3.9561 1.8221
-4.4407 -3.3030 4.7871
7.3948 -1.0233 0.7239
Tb Sb Ru
4 2 1
Cartesian
3.6976 1.9162 3.2935
-1.7219 -2.2864 4.0396
-0.4270 1.2227 2.5844
2.4027 -1.5929 4.7487
-0.1632 -0.0407 5.4692
2.1389 -0.3295 1.8639
0.0000 0.0000 0.0000
```

***

Let's list DFT total energy in order: -5.952; -5.878; -6.252; -5.748 eV/atom.
Let's list energy relative to the elements, uncorrected in order: -0.569; -0.558; -0.588; -0.599 eV/atom.